# 1
First-principles (PBE) data for crystalline In2FeSnIr at its relaxed geometry, as listed in the Alexandria database.

Values from the calculation:
Formation energy = 1.551 eV per atom
Volume = 28.0 Å³ per atom

abc: 5.4122 4.7822 5.4122
angles: 90.00 90.00 90.00
Last column: nearest neighbours and their distance in Å.
Sites, in units of the cell vectors:
Fe  0.0000  0.5000  0.0000  2 Sn 2.39
Ir  0.5000  0.5000  0.5000  8 In 3.61, 4 Fe 3.83
Sn  0.0000  0.0000  0.0000  2 Fe 2.39
In  0.0000  0.0000  0.5000  2 Sn 2.71
In  0.5000  0.0000  0.0000  2 Sn 2.71

***

# 2
First-principles (PBE) data for crystalline LaZnRe2 at its relaxed geometry, as listed in the Alexandria database.

Values from the calculation:
Formation energy = 0.400 eV per atom
Volume = 18.2 Å³ per atom

abc: 10.0900 10.0900 10.0900
angles: 16.57 16.57 16.57
Last column: nearest neighbours and their distance in Å.
Sites, in units of the cell vectors:
La  0.7484  0.7484  0.7484  6 La 2.91
Re  0.9875  0.9875  0.9875  9 Re 2.64-2.91
Re  0.2524  0.2524  0.2524  9 Re 2.64-2.91, 3 Zn 2.78
Zn  0.5116  0.5116  0.5116  3 Re 2.78, 6 Zn 2.91

***

# 3
First-principles (PBE) data for crystalline TbThAl6 at its relaxed geometry, as listed in the Alexandria database.

Values from the calculation:
Formation energy = -0.423 eV per atom
Volume = 20.7 Å³ per atom

abc: 4.6474 6.4093 6.4093
angles: 119.96 90.00 90.00
Last column: nearest neighbours and their distance in Å.
Sites, in units of the cell vectors:
Tb  0.0000  0.0835  0.9165  12 Al 3.13-3.22
Th  0.5000  0.4165  0.5835  12 Al 3.15-3.22
Al  0.0000  0.0328  0.3913  6 Al 2.72-2.81
Al  0.0000  0.6087  0.9672  6 Al 2.72-2.81
Al  0.0000  0.6084  0.3916  6 Al 2.72-2.81
Al  0.5000  0.4617  0.1060  6 Al 2.77-2.81
Al  0.5000  0.8940  0.5383  6 Al 2.77-2.81
Al  0.5000  0.8942  0.1058  6 Al 2.77-2.81

***

# 4
First-principles (PBE) data for crystalline MgCoI at its relaxed geometry, as listed in the Alexandria database.

Values from the calculation:
Energy relative to the elements, uncorrected = -51 meV per atom
ΔE to the lowest computed polymorph = 0.197 eV/atom
Volume = 27.8 Å³ per atom

abc: 10.8763 4.5021 4.0895
angles: 117.01 79.75 79.15
Last column: nearest neighbours and their distance in Å.
Sites, in units of the cell vectors:
I  0.0458  0.4763  0.9547  3 Co 2.57-2.76
I  0.4481  0.6190  0.3087  3 Mg 2.97-3.07
Mg  0.7802  0.3022  0.9934  6 Co 2.54-2.68
Mg  0.6085  0.8389  0.8428  1 Co 2.60
Co  0.8637  0.5991  0.6024  2 Co 2.36, 1 Mg 2.60
Co  0.8115  0.9045  0.2799  2 Co 2.36, 3 Mg 2.54-2.55, 1 I 2.57

***

# 5
First-principles (PBE) data for crystalline Sr2PmSn4Pt3 at its relaxed geometry, as listed in the Alexandria database.

Values from the calculation:
Formation energy = -0.737 eV per atom
Volume = 25.9 Å³ per atom

abc: 4.5636 4.5636 12.4134
angles: 90.00 90.00 90.00
Last column: nearest neighbours and their distance in Å.
Sites, in units of the cell vectors:
Sr  0.5000  0.0000  0.2318  8 Sn 3.47-3.67, 4 Pt 3.51
Sr  0.0000  0.5000  0.7682  8 Sn 3.47-3.67, 4 Pt 3.51
Pm  0.5000  0.5000  0.5000  4 Sn 3.07, 4 Pt 3.23
Sn  0.5000  0.5000  0.0000  4 Pt 2.72
Sn  0.0000  0.0000  0.0000  4 Pt 2.72
Sn  0.5000  0.0000  0.6651  1 Pt 2.67
Sn  0.0000  0.5000  0.3349  1 Pt 2.67
Pt  0.0000  0.0000  0.5000  4 Sn 3.07, 4 Pm 3.23
Pt  0.5000  0.0000  0.8802  5 Sn 2.67-2.72
Pt  0.0000  0.5000  0.1198  5 Sn 2.67-2.72

***

# 6
First-principles (PBE) data for crystalline AcCd4Ga3 at its relaxed geometry, as listed in the Alexandria database.

Values from the calculation:
Formation energy = -0.257 eV per atom
Volume = 23.7 Å³ per atom

abc: 4.6323 4.6323 8.8198
angles: 90.00 90.00 90.00
Last column: nearest neighbours and their distance in Å.
Sites, in units of the cell vectors:
Ac  0.0000  0.0000  0.5000  8 Ga 3.50, 8 Cd 3.64
Ga  0.0000  0.0000  0.0000  8 Cd 2.82
Ga  0.5000  0.5000  0.3596  1 Ga 2.48
Ga  0.5000  0.5000  0.6404  1 Ga 2.48
Cd  0.5000  0.0000  0.1817  4 Ga 2.80-2.82
Cd  0.0000  0.5000  0.1817  4 Ga 2.80-2.82
Cd  0.5000  0.0000  0.8183  4 Ga 2.80-2.82
Cd  0.0000  0.5000  0.8183  4 Ga 2.80-2.82

***

Copy entry 2 word for word.
First-principles (PBE) data for crystalline LaZnRe2 at its relaxed geometry, as listed in the Alexandria database.

Values from the calculation:
Formation energy = 0.400 eV per atom
Volume = 18.2 Å³ per atom

abc: 10.0900 10.0900 10.0900
angles: 16.57 16.57 16.57
Last column: nearest neighbours and their distance in Å.
Sites, in units of the cell vectors:
La  0.7484  0.7484  0.7484  6 La 2.91
Re  0.9875  0.9875  0.9875  9 Re 2.64-2.91
Re  0.2524  0.2524  0.2524  9 Re 2.64-2.91, 3 Zn 2.78
Zn  0.5116  0.5116  0.5116  3 Re 2.78, 6 Zn 2.91